(1)
The following is a DFT calculation (GGA-PBE) of a geometry-optimized YPaRu2 structure.

a = 3.4545 Å, b = 3.4545 Å, c = 6.8399 Å
α = 90.00°, β = 90.00°, γ = 90.00°
Positions (direct):
Ru: 0.0000 0.0000 0.2185
Ru: 0.0000 0.0000 0.7815
Y: 0.5000 0.5000 0.5000
Pa: 0.5000 0.5000 0.0000

Computed properties:
**Energy of formation from the pure elements**: -0.4826 eV per atom
**SG**: P4/mmm (123)
**Crystal system**: tetragonal

---

(2)
The following is a DFT calculation (GGA-PBE) of a geometry-optimized YPa2Ru structure.

a = 3.6634 Å, b = 3.6634 Å, c = 9.2435 Å
α = 78.57°, β = 78.57°, γ = 60.00°
Positions (direct):
Pa: 0.7310 0.7310 0.8069
Pa: 0.2690 0.2690 0.1931
Ru: 0.0000 0.0000 0.0000
Y: 0.5000 0.5000 0.5000

Computed properties:
**Energy of formation from the pure elements**: -0.0048 eV per atom
**SG**: R-3m (166)
**Crystal system**: trigonal

---

(3)
The following is a DFT calculation (GGA-PBE) of a geometry-optimized YPaZnRu structure.

a = 4.9244 Å, b = 4.9244 Å, c = 4.9244 Å
α = 60.00°, β = 60.00°, γ = 60.00°
Positions (direct):
Y: 0.7500 0.7500 0.7500
Ru: 0.5000 0.5000 0.5000
Zn: 0.0000 0.0000 0.0000
Pa: 0.2500 0.2500 0.2500

Computed properties:
**Energy of formation from the pure elements**: -0.1876 eV per atom
**SG**: F-43m (216)
**Crystal system**: cubic

---

(4)
The following is a DFT calculation (GGA-PBE) of a geometry-optimized Pa2Zn16Ru structure.

a = 6.7732 Å, b = 6.7732 Å, c = 6.7732 Å
α = 84.06°, β = 84.06°, γ = 84.06°
Last column: magnetic moment on the atom in μB.
Positions (direct):
Zn: 0.2880 0.9988 0.7080  0.00
Zn: 0.1640 0.6468 0.6468  0.00
Zn: 0.7080 0.9988 0.2880  0.00
Zn: 0.2880 0.7080 0.9988  0.00
Zn: 0.4916 0.0053 0.0053  0.00
Zn: 0.0053 0.0053 0.4916  0.00
Zn: 0.9988 0.7080 0.2880  0.00
Zn: 0.3584 0.3584 0.8367  0.00
Zn: 0.3584 0.8367 0.3584  0.00
Zn: 0.6468 0.6468 0.1640  0.00
Zn: 0.8367 0.3584 0.3584  0.00
Zn: 0.7080 0.2880 0.9988  0.00
Zn: 0.9988 0.2880 0.7080  0.00
Zn: 0.0053 0.4916 0.0053  0.00
Zn: 0.0987 0.0987 0.0987  0.00
Zn: 0.6468 0.1640 0.6468  0.00
Pa: 0.3424 0.3424 0.3424  0.52
Pa: 0.6837 0.6837 0.6837  0.01
Ru: 0.8722 0.8722 0.8722  0.00

Computed properties:
**Energy of formation from the pure elements**: -0.1379 eV per atom
**SG**: R3m (160)
**Crystal system**: trigonal